1.
# SrDyBi

A relaxed SrDyBi crystal (PBE, Alexandria via LeMat-Bulk).

total energy = -3.74 eV per atom

abc: 5.2664 5.2664 4.6960
angles: 90.00 90.00 120.00
Last column: nearest neighbours and their distance in Å.
Fractional positions:
Sr  0.0000  0.0000  0.0000  6 Bi 3.67-4.03, 6 Dy 3.81-3.87
Dy  0.3333  0.6667  0.4907  3 Bi 3.06
Bi  0.6667  0.3333  0.5628  3 Dy 3.06

---

2.
# PrBe3As3

A relaxed PrBe3As3 crystal (PBE, Alexandria via LeMat-Bulk).

total energy = -4.77 eV per atom

abc: 7.8873 7.8873 7.8873
angles: 50.35 50.35 50.35
Last column: nearest neighbours and their distance in Å.
Fractional positions:
Pr  0.1664  0.1664  0.1664  6 As 2.98-2.99
Pr  0.8336  0.8336  0.8336  6 As 2.98-2.99
Be  0.0374  0.7139  0.3726  4 As 2.31-2.35
Be  0.2861  0.6274  0.9626  4 As 2.31-2.35
Be  0.3726  0.0374  0.7139  4 As 2.31-2.35
Be  0.6274  0.9626  0.2861  4 As 2.31-2.35
Be  0.7139  0.3726  0.0374  4 As 2.31-2.35
Be  0.9626  0.2861  0.6274  4 As 2.31-2.35
As  0.0809  0.4062  0.7306  4 Be 2.31-2.35
As  0.2694  0.9191  0.5938  4 Be 2.31-2.35
As  0.4062  0.7306  0.0809  4 Be 2.31-2.35
As  0.5938  0.2694  0.9191  4 Be 2.31-2.35
As  0.7306  0.0809  0.4062  4 Be 2.31-2.35
As  0.9191  0.5938  0.2694  4 Be 2.31-2.35

---

3.
# MnMo2OsN

A relaxed MnMo2OsN crystal (PBE, Alexandria via LeMat-Bulk).

uncorrected formation energy = -80 meV/atom

abc: 4.0853 4.0853 3.8564
angles: 90.00 90.00 90.00
Last column: nearest neighbours and their distance in Å.
Fractional positions:
Mn  0.0000  0.0000  0.0000  2 N 1.93
Mo  0.0000  0.5000  0.5000  2 N 2.04
Mo  0.5000  0.0000  0.5000  2 N 2.04
Os  0.5000  0.5000  0.0000  8 Mo 2.81, 4 Mn 2.89
N  0.0000  0.0000  0.5000  2 Mn 1.93, 4 Mo 2.04

---

4.
# ZrRhBr2

A relaxed ZrRhBr2 crystal (PBE, Alexandria via LeMat-Bulk).

uncorrected formation energy = 113 meV/atom
energy above the lowest structure with this stoichiometry = 809 meV per atom

abc: 3.2497 6.0607 8.8688
angles: 90.00 90.00 90.00
Last column: nearest neighbours and their distance in Å.
Fractional positions:
Zr  0.0000  0.0000  0.0000  4 Br 2.77
Zr  0.5000  0.5000  0.0000  4 Br 2.77
Rh  0.0000  0.0000  0.5000  4 Br 2.72
Rh  0.5000  0.5000  0.5000  4 Br 2.72
Br  0.0000  0.5000  0.2534  2 Rh 2.72, 2 Zr 2.77
Br  0.0000  0.5000  0.7466  2 Rh 2.72, 2 Zr 2.77
Br  0.5000  0.0000  0.2534  2 Rh 2.72, 2 Zr 2.77
Br  0.5000  0.0000  0.7466  2 Rh 2.72, 2 Zr 2.77

---

5.
# RbAsRu3

A relaxed RbAsRu3 crystal (PBE, Alexandria via LeMat-Bulk).

energy above the lowest structure with this stoichiometry = 0 meV per atom

abc: 4.7412 4.7412 4.7412
angles: 90.00 90.00 90.00
Last column: nearest neighbours and their distance in Å.
Fractional positions:
Rb  0.0000  0.0000  0.0000  12 Ru 3.35
As  0.5000  0.5000  0.5000  6 Ru 2.37
Ru  0.0000  0.5000  0.5000  2 As 2.37
Ru  0.5000  0.0000  0.5000  2 As 2.37
Ru  0.5000  0.5000  0.0000  2 As 2.37

---

6.
# LaSb3S

A relaxed LaSb3S crystal (PBE, Alexandria via LeMat-Bulk).

uncorrected formation energy = -215 meV/atom
energy above the lowest structure with this stoichiometry = 0 meV per atom

abc: 5.2566 5.2566 5.2566
angles: 90.00 90.00 90.00
Last column: nearest neighbours and their distance in Å.
Fractional positions:
La  0.0000  0.0000  0.0000  12 Sb 3.72
Sb  0.0000  0.5000  0.5000  2 S 2.63
Sb  0.5000  0.0000  0.5000  2 S 2.63
Sb  0.5000  0.5000  0.0000  2 S 2.63
S  0.5000  0.5000  0.5000  6 Sb 2.63

---

7.
# Sr2TbTmSe4

A relaxed Sr2TbTmSe4 crystal (PBE, Alexandria via LeMat-Bulk).

uncorrected formation energy = -1865 meV/atom

abc: 7.2574 4.1946 7.4405
angles: 90.00 109.01 90.00
Last column: nearest neighbours and their distance in Å.
Fractional positions:
Sr  0.0000  0.0000  0.0000  6 Se 3.10
Sr  0.5000  0.5000  0.0000  6 Se 3.07
Tb  0.0000  0.5000  0.5000  6 Se 2.92
Tm  0.5000  0.0000  0.5000  6 Se 2.89
Se  0.2471  0.0000  0.7298  1 Tm 2.89, 2 Tb 2.92, 3 Sr 3.07-3.10
Se  0.2610  0.5000  0.2727  2 Tm 2.89, 1 Tb 2.92, 3 Sr 3.07-3.10
Se  0.7390  0.5000  0.7273  2 Tm 2.89, 1 Tb 2.92, 3 Sr 3.07-3.10
Se  0.7529  0.0000  0.2702  1 Tm 2.89, 2 Tb 2.92, 3 Sr 3.07-3.10

---

8.
# ZnGa3

A relaxed ZnGa3 crystal (PBE, Alexandria via LeMat-Bulk).

total energy = -2.55 eV per atom

abc: 4.1589 4.1589 4.1589
angles: 90.00 90.00 90.00
Last column: nearest neighbours and their distance in Å.
Fractional positions:
Zn  0.0000  0.0000  0.0000  12 Ga 2.94
Ga  0.0000  0.5000  0.5000  4 Zn 2.94, 8 Ga 2.94
Ga  0.5000  0.0000  0.5000  4 Zn 2.94, 8 Ga 2.94
Ga  0.5000  0.5000  0.0000  4 Zn 2.94, 8 Ga 2.94

---

9.
# Ta2GaW6

A relaxed Ta2GaW6 crystal (PBE, Alexandria via LeMat-Bulk).

total energy = -11.56 eV per atom

abc: 6.9842 6.9842 5.2653
angles: 109.34 109.34 38.14
Last column: nearest neighbours and their distance in Å.
Fractional positions:
Ta  0.1121  0.1121  0.0665  6 W 2.75-2.81, 1 Ta 2.79, 1 Ga 2.83
Ta  0.8879  0.8879  0.9335  6 W 2.75-2.81, 1 Ta 2.79, 1 Ga 2.83
Ga  0.0000  0.0000  0.5000  6 W 2.78-2.81, 2 Ta 2.83
W  0.2249  0.2249  0.6205  6 W 2.75-2.80, 1 Ta 2.77, 1 Ga 2.81
W  0.3338  0.3338  0.1711  5 W 2.75-2.78, 3 Ta 2.78-2.81
W  0.4445  0.4445  0.7222  4 W 2.75-2.78, 2 Ta 2.75, 2 Ga 2.78
W  0.5555  0.5555  0.2778  4 W 2.75-2.78, 2 Ta 2.75, 2 Ga 2.78
W  0.6662  0.6662  0.8289  5 W 2.75-2.78, 3 Ta 2.78-2.81
W  0.7751  0.7751  0.3795  6 W 2.75-2.80, 1 Ta 2.77, 1 Ga 2.81

---

10.
# Pr6TmHg2

A relaxed Pr6TmHg2 crystal (PBE, Alexandria via LeMat-Bulk).

total energy = -3.96 eV per atom

abc: 6.8038 6.8038 12.3101
angles: 108.08 108.08 32.50
Last column: nearest neighbours and their distance in Å.
Fractional positions:
Pr  0.0246  0.0246  0.3345  2 Hg 3.27, 3 Pr 3.53-3.64
Pr  0.3093  0.3093  0.4074  2 Hg 3.49, 10 Pr 3.52-3.81
Pr  0.3150  0.3150  0.1234  2 Hg 3.31, 5 Pr 3.52-3.64
Pr  0.6850  0.6850  0.8766  2 Hg 3.31, 5 Pr 3.52-3.64
Pr  0.6907  0.6907  0.5926  2 Hg 3.49, 10 Pr 3.52-3.81
Pr  0.9754  0.9754  0.6655  2 Hg 3.27, 3 Pr 3.53-3.64
Tm  0.0000  0.0000  0.0000  4 Hg 3.06
Hg  0.3651  0.3651  0.8134  2 Tm 3.06, 4 Pr 3.27-3.31
Hg  0.6349  0.6349  0.1866  2 Tm 3.06, 4 Pr 3.27-3.31

---

Number 1: Fermi-level density of states 2.002 states/eV per cell, theoretical density 6.8 g cm⁻³. Number 2: Fermi-level density of states 0.553 states/eV per cell, theoretical density 4.9 g cm⁻³. Number 3: Fermi-level density of states 4.093 states/eV per cell, theoretical density 11.6 g cm⁻³. Number 4: Fermi-level density of states 9.741 states/eV per cell, theoretical density 6.7 g cm⁻³. Number 5: Fermi-level density of states 4.955 states/eV per cell, theoretical density 7.2 g cm⁻³. Number 6: Fermi-level density of states 2.394 states/eV per cell, theoretical density 6.1 g cm⁻³. Number 7: Fermi-level density of states 3.519 states/eV per cell, theoretical density 6.4 g cm⁻³. Number 8: Fermi-level density of states 1.659 states/eV per cell, theoretical density 6.3 g cm⁻³. Number 9: Fermi-level density of states 6.998 states/eV per cell, theoretical density 17.2 g cm⁻³. Number 10: Fermi-level density of states 9.513 states/eV per cell, theoretical density 8.1 g cm⁻³.